DFT (PBE) results for Ba2LiPt after structural relaxation.

Lattice parameters (Å, degrees): 9.114 9.114 7.606 90.00 90.00 90.00
Sites, in units of the cell vectors:
Ba  0.193  0.250  0.125
Ba  0.250  0.693  0.375
Ba  0.250  0.807  0.875
Ba  0.307  0.250  0.625
Ba  0.693  0.750  0.625
Ba  0.750  0.193  0.875
Ba  0.750  0.307  0.375
Ba  0.807  0.750  0.125
Li  0.000  0.000  0.500
Li  0.000  0.500  0.750
Li  0.500  0.000  0.250
Li  0.500  0.500  0.000
Pt  0.000  0.000  0.000
Pt  0.000  0.500  0.250
Pt  0.500  0.000  0.750
Pt  0.500  0.500  0.500

Crystal system   tetragonal
Calculated formation energy   -0.163 eV/atom

DFT (PBE) results for HoPdAu after structural relaxation.

Lattice parameters (Å, degrees): 4.643 4.643 3.348 90.00 90.00 120.00
Sites, in units of the cell vectors:
Ho  0.000  0.000  0.000
Pd  0.333  0.667  0.502
Au  0.667  0.333  0.499

Crystal system   trigonal
Calculated formation energy   -0.750 eV/atom

DFT (PBE) results for CrTe2N after structural relaxation.

Lattice parameters (Å, degrees): 3.342 3.342 25.928 90.00 90.00 120.00
Sites, in units of the cell vectors:
Cr  0.000  0.000  0.000
Cr  0.333  0.667  0.667
Cr  0.667  0.333  0.333
Te  0.000  0.000  0.104
Te  0.000  0.000  0.896
Te  0.333  0.667  0.562
Te  0.333  0.667  0.771
Te  0.667  0.333  0.229
Te  0.667  0.333  0.438
N  0.000  0.000  0.500
N  0.333  0.667  0.167
N  0.667  0.333  0.833

Formation energy from raw total energies   1.231 eV per atom
Crystal system   trigonal

DFT (PBE) results for Mn2Ir2Rh after structural relaxation.

Lattice parameters (Å, degrees): 7.069 7.069 2.684 90.00 90.00 90.00
Sites, in units of the cell vectors:
Mn  0.119  0.381  0.000
Mn  0.381  0.881  0.000
Mn  0.619  0.119  0.000
Mn  0.881  0.619  0.000
Ir  0.173  0.673  0.500
Ir  0.327  0.173  0.500
Ir  0.673  0.827  0.500
Ir  0.827  0.327  0.500
Rh  0.000  0.000  0.000
Rh  0.500  0.500  0.000

Crystal system   tetragonal
Calculated formation energy   0.059 eV/atom

DFT (PBE) results for ZrGaIr2Cl after structural relaxation.

Lattice parameters (Å, degrees): 4.608 4.608 4.723 90.00 90.00 90.00
Sites, in units of the cell vectors:
Zr  0.000  0.000  0.000
Ga  0.500  0.500  0.500
Ir  0.000  0.500  0.500
Ir  0.500  0.000  0.500
Cl  0.500  0.500  0.000

Formation energy from raw total energies   0.587 eV per atom
Crystal system   tetragonal

DFT (PBE) results for La5Pm4Sm after structural relaxation.

Lattice parameters (Å, degrees): 9.116 9.116 11.277 90.22 90.22 23.06
Sites, in units of the cell vectors:
La  0.000  0.000  0.000
La  0.326  0.326  0.059
La  0.326  0.326  0.443
La  0.674  0.674  0.557
La  0.674  0.674  0.941
Pm  0.149  0.149  0.249
Pm  0.473  0.473  0.251
Pm  0.527  0.527  0.749
Pm  0.851  0.851  0.751
Sm  0.000  0.000  0.500

Crystal system   monoclinic
Calculated formation energy   0.148 eV/atom

DFT (PBE) results for Pr2DyTm after structural relaxation.

Lattice parameters (Å, degrees): 3.631 3.631 35.143 90.00 90.00 120.00
Sites, in units of the cell vectors:
Pr  0.000  0.000  0.000
Pr  0.000  0.000  0.167
Pr  0.333  0.667  0.667
Pr  0.333  0.667  0.834
Pr  0.667  0.333  0.333
Pr  0.667  0.333  0.501
Dy  0.000  0.000  0.417
Dy  0.333  0.667  0.083
Dy  0.667  0.333  0.750
Tm  0.000  0.000  0.584
Tm  0.333  0.667  0.251
Tm  0.667  0.333  0.918

Crystal system   trigonal
Calculated formation energy   0.025 eV/atom

DFT (PBE) results for KNaZrSi3H4O11 after structural relaxation.

Lattice parameters (Å, degrees): 13.142 6.814 11.931 90.00 90.00 90.00
Sites, in units of the cell vectors:
K  0.148  0.087  0.000
K  0.352  0.587  0.500
K  0.648  0.413  0.000
K  0.852  0.913  0.500
Na  0.109  0.674  0.748
Na  0.391  0.174  0.248
Na  0.609  0.826  0.748
Na  0.891  0.326  0.248
Zr  0.054  0.352  0.499
Zr  0.446  0.852  0.999
Zr  0.554  0.148  0.499
Zr  0.946  0.648  0.999
Si  0.084  0.610  0.247
Si  0.111  0.853  0.462
Si  0.212  0.612  0.030
Si  0.288  0.112  0.530
Si  0.389  0.353  0.962
Si  0.416  0.110  0.747
Si  0.584  0.890  0.247
Si  0.611  0.647  0.462
Si  0.712  0.888  0.030
Si  0.788  0.388  0.530
Si  0.889  0.147  0.962
Si  0.916  0.390  0.747
H  0.083  0.125  0.734
H  0.165  0.233  0.262
H  0.180  0.007  0.260
H  0.195  0.050  0.734
H  0.305  0.550  0.234
H  0.320  0.507  0.760
H  0.335  0.733  0.762
H  0.417  0.625  0.234
H  0.583  0.375  0.734
H  0.665  0.267  0.262
H  0.680  0.493  0.260
H  0.695  0.450  0.734
H  0.805  0.950  0.234
H  0.820  0.993  0.760
H  0.835  0.767  0.762
H  0.917  0.875  0.234
O  0.017  0.344  0.672
O  0.042  0.046  0.482
O  0.071  0.414  0.324
O  0.075  0.659  0.529
O  0.106  0.639  0.963
O  0.112  0.803  0.325
O  0.128  0.023  0.767
O  0.185  0.579  0.166
O  0.209  0.129  0.230
O  0.210  0.296  0.519
O  0.232  0.906  0.491
O  0.268  0.406  0.991
O  0.290  0.796  0.019
O  0.291  0.629  0.730
O  0.315  0.079  0.666
O  0.372  0.523  0.267
O  0.388  0.303  0.825
O  0.394  0.139  0.463
O  0.425  0.159  0.029
O  0.429  0.914  0.824
O  0.458  0.546  0.982
O  0.483  0.844  0.172
O  0.517  0.156  0.672
O  0.542  0.454  0.482
O  0.571  0.086  0.324
O  0.575  0.841  0.529
O  0.606  0.861  0.963
O  0.612  0.697  0.325
O  0.628  0.477  0.767
O  0.685  0.921  0.166
O  0.709  0.371  0.230
O  0.710  0.204  0.519
O  0.732  0.594  0.491
O  0.768  0.094  0.991
O  0.790  0.704  0.019
O  0.791  0.871  0.730
O  0.815  0.421  0.666
O  0.872  0.977  0.267
O  0.888  0.197  0.825
O  0.894  0.361  0.463
O  0.925  0.341  0.029
O  0.929  0.586  0.824
O  0.958  0.954  0.982
O  0.983  0.656  0.172

Crystal system   orthorhombic

DFT (PBE) results for Dy4TmHg after structural relaxation.

Lattice parameters (Å, degrees): 3.554 3.554 13.982 90.00 90.00 90.00
Sites, in units of the cell vectors:
Dy  0.000  0.000  0.145
Dy  0.000  0.000  0.855
Dy  0.500  0.500  0.324
Dy  0.500  0.500  0.676
Tm  0.000  0.000  0.500
Hg  0.500  0.500  0.000

Crystal system   tetragonal
Calculated formation energy   -0.143 eV/atom

DFT (PBE) results for SrNpAl2O8 after structural relaxation.

Lattice parameters (Å, degrees): 5.947 5.947 5.947 107.39 107.39 113.71
Sites, in units of the cell vectors:
Sr  0.000  0.000  0.000
Np  0.250  0.750  0.500
Al  0.500  0.500  0.000
Al  0.750  0.250  0.500
O  0.333  0.128  0.795
O  0.333  0.538  0.205
O  0.383  0.050  0.333
O  0.462  0.667  0.795
O  0.716  0.050  0.667
O  0.872  0.667  0.205
O  0.950  0.284  0.333
O  0.950  0.617  0.667

Formation energy from raw total energies   -2.378 eV per atom
Crystal system   tetragonal

DFT (PBE) results for Sr3In5I12 after structural relaxation.

Lattice parameters (Å, degrees): 14.369 14.369 4.845 90.00 90.00 120.00
Sites, in units of the cell vectors:
Sr  0.000  0.682  0.000
Sr  0.318  0.318  0.000
Sr  0.682  0.000  0.000
In  0.000  0.299  0.500
In  0.299  0.000  0.500
In  0.333  0.667  0.500
In  0.667  0.333  0.500
In  0.701  0.701  0.500
I  0.000  0.530  0.500
I  0.000  0.834  0.500
I  0.166  0.166  0.500
I  0.190  0.454  0.000
I  0.265  0.810  0.000
I  0.454  0.190  0.000
I  0.470  0.470  0.500
I  0.530  0.000  0.500
I  0.546  0.735  0.000
I  0.735  0.546  0.000
I  0.810  0.265  0.000
I  0.834  0.000  0.500

Formation energy from raw total energies   -0.977 eV per atom
Crystal system   hexagonal

DFT (PBE) results for Zr2ReOs2 after structural relaxation.

Lattice parameters (Å, degrees): 6.530 6.530 4.372 90.00 90.00 90.00
Sites, in units of the cell vectors:
Zr  0.180  0.320  0.000
Zr  0.320  0.820  0.000
Zr  0.680  0.180  0.000
Zr  0.820  0.680  0.000
Re  0.000  0.000  0.500
Re  0.500  0.500  0.500
Os  0.137  0.637  0.500
Os  0.363  0.137  0.500
Os  0.637  0.863  0.500
Os  0.863  0.363  0.500

Crystal system   tetragonal
Calculated formation energy   -0.124 eV/atom

| no. | raw total energy (eV/cell) | total magnetization (μB per formula unit) |
| --- | --- | --- |
| 1 | -49.81 | 0.00 |
| 2 | -15.30 | 0.00 |
| 3 | -57.93 | 4.12 |
| 4 | -86.23 | 0.00 |
| 5 | -28.21 | 0.00 |
| 6 | -46.88 | 0.00 |
| 7 | -55.60 | 0.00 |
| 8 | -573.92 | 0.00 |
| 9 | -24.04 | 0.00 |
| 10 | -90.31 | 1.03 |
| 11 | -56.87 | 0.00 |
| 12 | -105.25 | 0.00 |